Record 1
{
  "formula": "Rb2BaZnCl6",
  "functional": "PBE",
  "state": "optimized geometry",
  "formation_energy_uncorrected_kj_per_mol_atoms": -176.5,
  "e_tot_ev_per_atom": -3.451,
  "cell": [[-2.141, -1.209, 7.407], [2.862, -6.090, 3.948], [4.894, 0.978, 5.690]],
  "species": ["Cl", "Cl", "Cl", "Cl", "Cl", "Cl", "Rb", "Rb", "Zn", "Ba"],
  "frac_coords": [[0.467, 0.615, 0.815], [0.615, 0.100, 0.817], [0.017, 0.532, 0.286], [0.165, 0.017, 0.288], [0.101, 0.466, 0.816], [0.531, 0.166, 0.287], [0.080, 0.080, 0.758], [0.552, 0.552, 0.346], [0.316, 0.316, 0.051], [0.816, 0.816, 0.552]]
}


Record 2
{
  "formula": "Rb2BaZrCl",
  "functional": "PBE",
  "state": "optimized geometry",
  "formation_energy_uncorrected_kj_per_mol_atoms": 8.2,
  "e_tot_ev_per_atom": -2.765,
  "cell": [[6.658, 0.000, 0.000], [0.000, 6.658, 0.000], [0.000, 0.000, 5.253]],
  "species": ["Ba", "Rb", "Rb", "Cl", "Zr"],
  "frac_coords": [[0.500, 0.500, 0.500], [0.500, 0.000, 0.000], [0.000, 0.500, 0.000], [0.000, 0.000, 0.000], [0.000, 0.000, 0.500]]
}


Record 3
{
  "formula": "Rb2BaZrCl6",
  "functional": "PBE",
  "state": "optimized geometry",
  "formation_energy_uncorrected_kj_per_mol_atoms": -176.8,
  "e_tot_ev_per_atom": -4.181,
  "cell": [[-0.454, 2.937, 7.369], [3.342, -6.623, 2.846], [6.531, 0.464, 4.501]],
  "species": ["Zr", "Rb", "Rb", "Cl", "Cl", "Cl", "Cl", "Cl", "Cl", "Ba"],
  "frac_coords": [[0.500, 0.500, 0.000], [0.750, 0.250, 0.500], [0.250, 0.750, 0.500], [0.267, 0.733, 0.000], [0.267, 0.267, 0.466], [0.267, 0.267, 0.000], [0.733, 0.733, 0.000], [0.733, 0.733, 0.534], [0.733, 0.267, 0.000], [0.000, 0.000, 0.000]]
}